[1]
A PBEsol-optimized structure of Mg2NbCrBi. Source: Alexandria, functional SCAN.

Properties
* calculated formation energy: 1.037 eV/atom
* total DFT energy (no corrections): -26.971 eV/atom

a b c (Å): 5.335 5.335 4.401
angles (deg): 90.00 90.00 90.00
Space group P4/mmm (No. 123)
Inequivalent atoms, fractional coordinates:
1 Mg 0.000 0.500 0.000 [2 per cell]
2 Nb 0.000 0.000 0.000 [1 per cell]
3 Cr 0.000 0.000 0.500 [1 per cell]
4 Bi 0.500 0.500 0.500 [1 per cell]


[2]
A PBEsol-optimized structure of YRe2Pt. Source: Alexandria, functional SCAN.

Properties
* ΔE to the lowest computed polymorph: 195 meV/atom
* calculated formation energy: 0.073 eV/atom
* total DFT energy (no corrections): -59.985 eV/atom

a b c (Å): 4.246 4.246 7.394
angles (deg): 90.00 90.00 90.00
Space group I-4m2 (No. 119)
Inequivalent atoms, fractional coordinates:
1 Y 0.000 0.000 0.000 [2 per cell]
2 Re 0.000 0.000 0.500 [2 per cell]
3 Re 0.000 0.500 0.750 [2 per cell]
4 Pt 0.000 0.500 0.250 [2 per cell]


[3]
A PBEsol-optimized structure of LaBeFe2. Source: Alexandria, functional SCAN.

Properties
* calculated formation energy: 0.313 eV/atom
* total DFT energy (no corrections): -20.617 eV/atom

a b c (Å): 3.012 3.012 6.462
angles (deg): 90.00 90.00 90.00
Space group P4/mmm (No. 123)
Inequivalent atoms, fractional coordinates:
1 La 0.000 0.000 0.000 [1 per cell]
2 Be 0.000 0.000 0.500 [1 per cell]
3 Fe 0.500 0.500 0.336 [2 per cell]


[4]
A PBEsol-optimized structure of CoAgAs2. Source: Alexandria, functional SCAN.

Properties
* ΔE to the lowest computed polymorph: 0 meV/atom
* calculated formation energy: 0.118 eV/atom
* total DFT energy (no corrections): -22.145 eV/atom

a b c (Å): 2.821 3.705 12.211
angles (deg): 90.00 90.00 90.00
Space group Imm2 (No. 44)
Inequivalent atoms, fractional coordinates:
1 Co 0.000 0.000 0.000 [2 per cell]
2 Ag 0.000 0.500 0.715 [2 per cell]
3 As 0.000 0.000 0.553 [2 per cell]
4 As 0.000 0.500 0.345 [2 per cell]


[5]
A PBEsol-optimized structure of Li9Ge4. Source: Alexandria, functional SCAN.

Properties
* calculated formation energy: -0.359 eV/atom
* total DFT energy (no corrections): -7.887 eV/atom

a b c (Å): 4.408 7.640 23.429
angles (deg): 90.00 90.00 90.00
Space group Cmcm (No. 63)
Inequivalent atoms, fractional coordinates:
1 Li 0.000 0.001 0.176 [8 per cell]
2 Li 0.000 0.333 0.593 [8 per cell]
3 Li 0.000 0.334 0.017 [8 per cell]
4 Li 0.000 0.334 0.131 [8 per cell]
5 Li 0.000 0.334 0.250 [4 per cell]
6 Ge 0.000 0.000 0.055 [8 per cell]
7 Ge 0.000 0.332 0.699 [8 per cell]


[6]
A PBEsol-optimized structure of Sr3MgH. Source: Alexandria, functional SCAN.

Properties
* total DFT energy (no corrections): -15.188 eV/atom

a b c (Å): 5.443 5.443 5.443
angles (deg): 90.00 90.00 90.00
Space group Pm-3m (No. 221)
Inequivalent atoms, fractional coordinates:
1 Sr 0.000 0.000 0.500 [3 per cell]
2 Mg 0.500 0.500 0.500 [1 per cell]
3 H 0.000 0.000 0.000 [1 per cell]